(1)
VASP calculation (PBE-GGA) on a relaxed MnVSe2N crystal.

The structure belongs to space group P4/mmm (No. 123); the cell edges are 4.997, 4.997 and 3.620 Å and the angles 90.00°, 90.00° and 90.00°. The distinct sites, in fractional coordinates, are Mn at (0.000, 0.000, 0.000), V at (0.500, 0.500, 0.500), Se at (0.000, 0.500, 0.500) and N at (0.500, 0.500, 0.000).

(2)
VASP calculation (PBE-GGA) on a relaxed MnVSeN2 crystal.

The structure belongs to space group P4/mmm (No. 123); the cell edges are 3.596, 3.596 and 5.090 Å and the angles 90.00°, 90.00° and 90.00°. The distinct sites, in fractional coordinates, are Mn at (0.000, 0.000, 0.000), V at (0.500, 0.500, 0.500), Se at (0.000, 0.000, 0.500) and N at (0.000, 0.500, 0.000).

(3)
VASP calculation (PBE-GGA) on a relaxed MnVSeN2 crystal.

The structure belongs to space group P4/mmm (No. 123); the cell edges are 3.747, 3.747 and 5.285 Å and the angles 90.00°, 90.00° and 90.00°. The distinct sites, in fractional coordinates, are Mn at (0.000, 0.000, 0.000), V at (0.500, 0.500, 0.500), Se at (0.500, 0.500, 0.000) and N at (0.000, 0.500, 0.500).

Number 1: formation energy (no corrections) 0.065 eV/atom, D(E_F) 0.6584 states/eV per atom, relative energy among the computed polymorphs 0.0 meV per atom. Number 2: formation energy (no corrections) 0.703 eV/atom, D(E_F) 1.9290 states/eV per atom, relative energy among the computed polymorphs 473.8 meV per atom. Number 3: formation energy (no corrections) 0.229 eV/atom, D(E_F) 0.4504 states/eV per atom, relative energy among the computed polymorphs 0.0 meV per atom.